[1]
B2Pd9Pb3 | Alexandria | PBE | relaxed; E = -5.310 eV/atom; formation enthalpy at 0 K = -0.2230 eV per atom
1.0
-3.078 4.910 1.889
-0.858 -5.376 2.742
5.249 1.516 4.614
Pd B Pb
9 2 3
Direct
0.837 0.673 0.333
0.000 0.500 0.000
0.500 0.000 0.000
0.673 0.837 0.667
0.163 0.327 0.667
0.837 0.163 0.333
0.500 0.500 0.000
0.327 0.163 0.333
0.163 0.837 0.667
0.333 0.667 0.814
0.667 0.333 0.186
0.000 0.000 0.000
0.667 0.333 0.661
0.333 0.667 0.339

***

[2]
CsIn4Br5 | Alexandria | PBE | relaxed; E = -2.884 eV/atom; energy relative to the elements, uncorrected = -0.867 eV/atom
1.0
4.713 0.000 1.076
1.991 7.804 2.136
0.006 -0.016 10.826
Br In Cs
5 4 1
Direct
0.206 0.908 0.681
0.613 0.666 0.108
0.387 0.334 0.892
0.000 0.500 0.500
0.794 0.092 0.319
0.399 0.796 0.406
0.601 0.204 0.594
0.198 0.396 0.208
0.802 0.604 0.792
0.000 0.000 0.000

***

[3]
TaCoRe2 | Alexandria | PBE | relaxed; E = -10.908 eV/atom; energy above the lowest structure with this stoichiometry = 0.332 eV/f.u.; formation enthalpy at 0 K = 0.0558 eV per atom
1.0
-3.490 3.327 0.688
-3.173 -1.289 3.462
4.861 0.202 -0.219
Re Ta Co
2 1 1
Direct
0.500 0.500 0.000
0.000 0.000 0.000
0.250 0.750 0.500
0.750 0.250 0.500

***

[4]
Cd12Sn5Bi3 | Alexandria | PBE | relaxed; E = -1.983 eV/atom; formation enthalpy at 0 K = 0.1485 eV per atom
1.0
14.932 0.000 0.000
-4.977 14.078 0.000
-4.977 -7.039 12.192
Cd Sn Bi
48 20 12
Direct
0.226 0.671 0.098
0.329 0.555 0.427
0.628 0.055 0.226
0.598 0.872 0.427
0.927 0.098 0.872
0.774 0.445 0.372
0.274 0.402 0.829
0.726 0.128 0.055
0.402 0.128 0.573
0.226 0.555 0.628
0.073 0.171 0.445
0.573 0.945 0.671
0.445 0.774 0.872
0.829 0.927 0.055
0.902 0.073 0.628
0.927 0.829 0.555
0.171 0.073 0.945
0.598 0.726 0.671
0.098 0.927 0.372
0.055 0.628 0.726
0.945 0.573 0.171
0.055 0.427 0.829
0.171 0.098 0.726
0.902 0.829 0.774
0.628 0.573 0.902
0.372 0.945 0.774
0.555 0.329 0.927
0.274 0.872 0.945
0.098 0.171 0.226
0.427 0.372 0.598
0.073 0.902 0.128
0.372 0.427 0.098
0.872 0.598 0.927
0.671 0.226 0.598
0.427 0.055 0.329
0.555 0.226 0.128
0.671 0.445 0.573
0.829 0.902 0.274
0.573 0.628 0.402
0.128 0.402 0.073
0.872 0.274 0.445
0.726 0.598 0.171
0.402 0.274 0.329
0.945 0.372 0.274
0.445 0.671 0.073
0.329 0.774 0.402
0.774 0.329 0.902
0.128 0.726 0.555
0.500 0.500 0.500
0.875 0.250 0.625
0.500 0.000 0.000
0.500 0.000 0.500
0.000 0.500 0.500
0.125 0.750 0.375
0.250 0.375 0.625
0.750 0.625 0.375
0.000 0.500 0.000
0.875 0.625 0.750
0.750 0.125 0.875
0.375 0.250 0.125
0.000 0.000 0.000
0.625 0.875 0.250
0.625 0.750 0.875
0.500 0.500 0.000
0.125 0.375 0.250
0.000 0.000 0.500
0.375 0.125 0.750
0.250 0.875 0.125
0.125 0.250 0.875
0.125 0.875 0.750
0.750 0.875 0.625
0.250 0.125 0.375
0.750 0.375 0.125
0.375 0.750 0.625
0.250 0.625 0.875
0.875 0.750 0.125
0.625 0.375 0.750
0.375 0.625 0.250
0.625 0.250 0.375
0.875 0.125 0.250

***

[5]
Li2Zn3Ag | Alexandria | PBE | relaxed; E = -1.891 eV/atom; energy above the lowest structure with this stoichiometry = 0.200 eV/f.u.; formation enthalpy at 0 K = -0.1411 eV per atom
1.0
4.387 0.000 0.000
-2.193 6.607 -0.823
0.000 -3.629 6.710
Li Zn Ag
4 6 2
Direct
0.785 0.570 0.126
0.468 0.936 0.133
0.532 0.064 0.867
0.215 0.430 0.874
0.380 0.761 0.382
0.715 0.430 0.385
0.620 0.239 0.618
0.032 0.064 0.363
0.285 0.570 0.615
0.968 0.936 0.637
0.868 0.737 0.873
0.132 0.263 0.127

***

[6]
La3Y2TmTe6 | Alexandria | PBE | relaxed; E = -5.690 eV/atom; energy relative to the elements, uncorrected = -1.438 eV/atom
1.0
4.417 0.000 0.000
0.000 9.015 0.222
-2.209 -2.702 9.392
Y Te La Tm
2 6 3 1
Direct
0.832 0.665 0.665
0.168 0.335 0.335
0.670 0.574 0.339
0.997 0.763 0.994
0.003 0.237 0.006
0.339 0.909 0.678
0.330 0.426 0.661
0.661 0.091 0.322
0.500 0.500 0.000
0.832 0.166 0.663
0.168 0.834 0.337
0.500 0.000 0.000